VASP calculation (GGA-PBE) on a relaxed GdSi3Pt4 crystal.

Results
- total energy (eV/atom) = -6.39

abc: 5.585 3.762 7.076
angles: 90.00 98.75 90.00
Fractional positions:
Gd 0.934 0.000 0.715
Pt 0.747 0.500 0.012
Pt 0.129 0.000 0.135
Pt 0.684 0.500 0.401
Pt 0.351 0.000 0.522
Si 0.561 0.000 0.160
Si 0.091 0.500 0.343
Si 0.503 0.500 0.712